No. 1
! MgZrAuN2 (PBE, optimized geometry); values from VASP
! Magnetization in μB/cell: 0.0
! E_form (uncorrected) in eV/atom: 1.79
! DFT total energy in eV/atom: -4.227
! SG: P4/mmm, No. 123
! Crystal system: tetragonal
&SYSTEM
  ibrav = 0, nat = 5, ntyp = 4
/
ATOMIC_SPECIES
Zr 91.22 Zr.upf
N 14.01 N.upf
Au 196.97 Au.upf
Mg 24.30 Mg.upf
CELL_PARAMETERS angstrom
4.187 0.000 0.000
0.000 5.300 0.000
0.000 0.000 4.187
ATOMIC_POSITIONS angstrom
Zr 0.000 2.650 0.000
N 0.000 0.000 2.093
N 2.093 0.000 0.000
Au 0.000 0.000 0.000
Mg 2.093 2.650 2.093

No. 2
! Mg2ZrAuN (PBE, optimized geometry); values from VASP
! Magnetization in μB/cell: 0.0
! E_form (uncorrected) in eV/atom: 2.07
! DFT total energy in eV/atom: -2.597
! SG: P4/mmm, No. 123
! E above lowest polymorph in eV/f.u.: 13.67
! Crystal system: tetragonal
&SYSTEM
  ibrav = 0, nat = 5, ntyp = 4
/
ATOMIC_SPECIES
Au 196.97 Au.upf
Mg 24.30 Mg.upf
N 14.01 N.upf
Zr 91.22 Zr.upf
CELL_PARAMETERS angstrom
-2.565 -3.298 3.895
4.265 -2.701 0.521
1.734 3.537 4.136
ATOMIC_POSITIONS angstrom
Au 2.132 -1.350 0.261
Mg 0.867 1.768 2.068
Mg -1.282 -1.649 1.948
N 1.717 -1.231 4.276
Zr 0.000 0.000 0.000

No. 3
! NaMgAu3 (PBE, optimized geometry); values from VASP
! Magnetization in μB/cell: 0.0
! DFT total energy in eV/atom: -2.824
! SG: I4mm, No. 107
! E above lowest polymorph in eV/f.u.: 0.00
! Crystal system: tetragonal
! Formation enthalpy at 0 K in eV per atom: -0.275
&SYSTEM
  ibrav = 0, nat = 5, ntyp = 3
/
ATOMIC_SPECIES
Na 22.99 Na.upf
Au 196.97 Au.upf
Mg 24.30 Mg.upf
CELL_PARAMETERS angstrom
4.093 0.000 0.000
0.000 4.093 0.000
-2.047 -2.047 6.499
ATOMIC_POSITIONS angstrom
Na 2.047 2.047 6.279
Au 0.000 2.047 3.528
Au 0.000 0.000 5.611
Au 2.047 0.000 3.528
Mg 2.047 2.047 1.725

No. 4
! NaMg2Au3 (PBE, optimized geometry); values from VASP
! Magnetization in μB/cell: 0.0
! DFT total energy in eV/atom: -2.767
! SG: Cmcm, No. 63
! E above lowest polymorph in eV/f.u.: 0.74
! Crystal system: orthorhombic
! Formation enthalpy at 0 K in eV per atom: -0.376
&SYSTEM
  ibrav = 0, nat = 12, ntyp = 3
/
ATOMIC_SPECIES
Mg 24.30 Mg.upf
Na 22.99 Na.upf
Au 196.97 Au.upf
CELL_PARAMETERS angstrom
-5.291 0.975 2.470
-3.176 -2.211 -5.930
0.595 -6.036 3.655
ATOMIC_POSITIONS angstrom
Mg -5.069 -2.487 -2.782
Mg -0.158 -5.273 1.742
Mg -2.803 -4.785 2.977
Mg -2.423 -2.975 -4.017
Na -2.035 -2.033 -0.011
Na -5.837 -5.239 0.206
Au -3.657 -7.213 -1.440
Au -2.404 -6.637 1.017
Au -4.216 -0.060 1.635
Au -5.469 -0.635 -0.822
Au -3.840 -2.287 3.318
Au -4.032 -4.986 -3.123

No. 5
! NaMg2Au6 (PBE, optimized geometry); values from VASP
! Magnetization in μB/cell: 0.0
! DFT total energy in eV/atom: -3.012
! SG: Immm, No. 71
! Crystal system: orthorhombic
! Formation enthalpy at 0 K in eV per atom: -0.326
&SYSTEM
  ibrav = 0, nat = 9, ntyp = 3
/
ATOMIC_SPECIES
Au 196.97 Au.upf
Mg 24.30 Mg.upf
Na 22.99 Na.upf
CELL_PARAMETERS angstrom
3.109 0.000 0.000
1.555 8.172 1.285
1.555 3.578 7.459
ATOMIC_POSITIONS angstrom
Au 4.664 8.786 4.755
Au 1.555 4.672 1.694
Au 4.664 7.078 7.050
Au 1.555 7.353 2.385
Au 1.555 4.396 6.359
Au 1.555 2.964 3.989
Mg 4.664 10.057 7.484
Mg 1.555 1.693 1.260
Na 3.109 5.875 4.372

No. 6
! Na3Mg2Au3 (PBE, optimized geometry); values from VASP
! Magnetization in μB/cell: 0.0
! DFT total energy in eV/atom: -2.494
! SG: P-62m, No. 189
! Crystal system: hexagonal
! Formation enthalpy at 0 K in eV per atom: -0.371
&SYSTEM
  ibrav = 0, nat = 8, ntyp = 3
/
ATOMIC_SPECIES
Mg 24.30 Mg.upf
Na 22.99 Na.upf
Au 196.97 Au.upf
CELL_PARAMETERS angstrom
-1.593 2.625 0.235
2.698 2.275 -7.134
-6.766 -4.155 0.556
ATOMIC_POSITIONS angstrom
Mg -0.457 0.132 -4.571
Mg -3.611 -2.012 -2.007
Na -1.633 -1.003 0.134
Na 0.651 0.549 -1.722
Na -3.086 -1.426 -4.990
Au 0.809 2.666 -4.128
Au -4.823 -1.160 0.448
Au -2.443 0.551 -2.546

No. 7
! NaMg5Au4 (PBE, optimized geometry); values from VASP
! Magnetization in μB/cell: 0.0
! DFT total energy in eV/atom: -2.712
! SG: P4/mmm, No. 123
! Crystal system: tetragonal
! Formation enthalpy at 0 K in eV per atom: -0.472
&SYSTEM
  ibrav = 0, nat = 10, ntyp = 3
/
ATOMIC_SPECIES
Mg 24.30 Mg.upf
Au 196.97 Au.upf
Na 22.99 Na.upf
CELL_PARAMETERS angstrom
3.391 0.000 0.000
0.000 3.391 0.000
0.000 0.000 17.307
ATOMIC_POSITIONS angstrom
Mg 1.695 1.695 5.497
Mg 1.695 1.695 2.417
Mg 1.695 1.695 14.890
Mg 1.695 1.695 11.811
Mg 1.695 1.695 8.654
Au 0.000 0.000 10.232
Au 0.000 0.000 13.438
Au 0.000 0.000 7.076
Au 0.000 0.000 3.869
Na 0.000 0.000 0.000

No. 8
! NaMg2Au2 (PBE, optimized geometry); values from VASP
! Magnetization in μB/cell: 0.0
! DFT total energy in eV/atom: -2.618
! SG: I4/mmm, No. 139
! E above lowest polymorph in eV/f.u.: 0.29
! Crystal system: tetragonal
! Formation enthalpy at 0 K in eV per atom: -0.405
&SYSTEM
  ibrav = 0, nat = 5, ntyp = 3
/
ATOMIC_SPECIES
Na 22.99 Na.upf
Mg 24.30 Mg.upf
Au 196.97 Au.upf
CELL_PARAMETERS angstrom
-2.450 -2.531 -2.528
-2.129 -1.431 3.495
-6.305 2.512 -0.123
ATOMIC_POSITIONS angstrom
Na 0.000 0.000 0.000
Mg -5.362 -0.450 1.928
Mg -5.522 -1.000 -1.084
Au -3.195 -0.967 0.347
Au -7.688 -0.483 0.497

No. 9
! Na2MgAu (PBE, optimized geometry); values from VASP
! Magnetization in μB/cell: 0.0
! DFT total energy in eV/atom: -1.839
! SG: R-3m, No. 166
! Crystal system: trigonal
! Formation enthalpy at 0 K in eV per atom: 0.039
&SYSTEM
  ibrav = 0, nat = 4, ntyp = 3
/
ATOMIC_SPECIES
Mg 24.30 Mg.upf
Au 196.97 Au.upf
Na 22.99 Na.upf
CELL_PARAMETERS angstrom
-1.353 2.442 1.543
-3.177 0.192 0.208
-1.243 -4.939 10.023
ATOMIC_POSITIONS angstrom
Mg 0.000 0.000 0.000
Au -2.886 -1.153 5.887
Na -4.454 0.970 4.450
Na -1.319 -3.276 7.325

No. 10
! NaMg2Au3 (PBE, optimized geometry); values from VASP
! Magnetization in μB/cell: 0.0
! DFT total energy in eV/atom: -2.890
! SG: P4/mmm, No. 123
! E above lowest polymorph in eV/f.u.: 0.00
! Crystal system: tetragonal
! Formation enthalpy at 0 K in eV per atom: -0.500
&SYSTEM
  ibrav = 0, nat = 6, ntyp = 3
/
ATOMIC_SPECIES
Au 196.97 Au.upf
Mg 24.30 Mg.upf
Na 22.99 Na.upf
CELL_PARAMETERS angstrom
3.290 0.000 0.000
0.000 3.290 0.000
0.000 0.000 10.692
ATOMIC_POSITIONS angstrom
Au 0.000 0.000 0.000
Au 0.000 0.000 3.226
Au 0.000 0.000 7.466
Mg 1.645 1.645 9.018
Mg 1.645 1.645 1.674
Na 1.645 1.645 5.346

No. 11
! NaMg3Au3 (PBE, optimized geometry); values from VASP
! Magnetization in μB/cell: 0.0
! DFT total energy in eV/atom: -2.420
! SG: Pm-3n, No. 223
! Crystal system: cubic
! Formation enthalpy at 0 K in eV per atom: -0.143
&SYSTEM
  ibrav = 0, nat = 14, ntyp = 3
/
ATOMIC_SPECIES
Mg 24.30 Mg.upf
Au 196.97 Au.upf
Na 22.99 Na.upf
CELL_PARAMETERS angstrom
7.419 0.000 0.000
0.000 7.419 0.000
0.000 0.000 7.419
ATOMIC_POSITIONS angstrom
Mg 3.710 0.000 1.855
Mg 0.000 1.855 3.710
Mg 3.710 0.000 5.564
Mg 0.000 5.564 3.710
Mg 1.855 3.710 0.000
Mg 5.564 3.710 0.000
Au 3.710 1.855 0.000
Au 5.564 0.000 3.710
Au 0.000 3.710 5.564
Au 3.710 5.564 0.000
Au 1.855 0.000 3.710
Au 0.000 3.710 1.855
Na 0.000 0.000 0.000
Na 3.710 3.710 3.710

No. 12
! NaMg2Au9 (PBE, optimized geometry); values from VASP
! Magnetization in μB/cell: 0.0
! DFT total energy in eV/atom: -3.160
! SG: P4/mmm, No. 123
! Crystal system: tetragonal
! Formation enthalpy at 0 K in eV per atom: -0.326
&SYSTEM
  ibrav = 0, nat = 12, ntyp = 3
/
ATOMIC_SPECIES
Au 196.97 Au.upf
Mg 24.30 Mg.upf
Na 22.99 Na.upf
CELL_PARAMETERS angstrom
-2.781 1.212 2.902
-2.295 -3.431 -0.766
6.280 -6.113 8.569
ATOMIC_POSITIONS angstrom
Au -0.433 -3.159 3.941
Au -2.538 -1.110 1.068
Au -0.073 -2.761 1.083
Au 3.815 -4.461 8.555
Au 1.749 -2.450 5.736
Au 4.058 -6.783 6.721
Au -0.316 -0.440 2.917
Au 1.636 -5.173 6.765
Au 1.992 -4.772 3.902
Mg 2.094 -2.039 2.858
Mg 4.185 -4.074 5.711
Na 0.000 0.000 0.000

Which value of DFT total energy does entry 10 give? -2.890 eV/atom

Number 2 is which compound? Mg2ZrAuN

Look up the magnetization of the fourth one. 0.0 μB/cell

Copy entry 8 word for word.
! NaMg2Au2 (PBE, optimized geometry); values from VASP
! Magnetization in μB/cell: 0.0
! DFT total energy in eV/atom: -2.618
! SG: I4/mmm, No. 139
! E above lowest polymorph in eV/f.u.: 0.29
! Crystal system: tetragonal
! Formation enthalpy at 0 K in eV per atom: -0.405
&SYSTEM
  ibrav = 0, nat = 5, ntyp = 3
/
ATOMIC_SPECIES
Na 22.99 Na.upf
Mg 24.30 Mg.upf
Au 196.97 Au.upf
CELL_PARAMETERS angstrom
-2.450 -2.531 -2.528
-2.129 -1.431 3.495
-6.305 2.512 -0.123
ATOMIC_POSITIONS angstrom
Na 0.000 0.000 0.000
Mg -5.362 -0.450 1.928
Mg -5.522 -1.000 -1.084
Au -3.195 -0.967 0.347
Au -7.688 -0.483 0.497